1.
An optimized crystal structure of TcHg2Te, computed with PBE.

a b c (Å): 3.396 4.784 5.386
angles (deg): 90.00 90.00 90.00
Space group Pmmm (No. 47)
Asymmetric unit:
Tc: 0.000 0.000 0.000 (multiplicity 1)
Hg: 0.000 0.500 0.500 (multiplicity 1)
Hg: 0.500 0.000 0.500 (multiplicity 1)
Te: 0.500 0.500 0.000 (multiplicity 1)

Output
- VASP energy: -11.5 eV/cell

2.
An optimized crystal structure of BaTl2S8, computed with PBE.

a b c (Å): 5.289 6.301 9.671
angles (deg): 102.13 96.82 98.61
Space group P-1 (No. 2)
Asymmetric unit:
Ba: 0.000 0.000 0.000 (multiplicity 1)
Tl: 0.063 0.740 0.350 (multiplicity 2)
S: 0.157 0.490 0.948 (multiplicity 2)
S: 0.189 0.271 0.368 (multiplicity 2)
S: 0.445 0.770 0.659 (multiplicity 2)
S: 0.476 0.067 0.801 (multiplicity 2)

Output
- VASP energy: -44.3 eV/cell

3.
An optimized crystal structure of Tl2HRhCl, computed with PBE.

a b c (Å): 5.431 5.431 3.519
angles (deg): 90.00 90.00 90.00
Space group P4/mmm (No. 123)
Asymmetric unit:
Tl: 0.000 0.500 0.000 (multiplicity 2)
H: 0.000 0.000 0.500 (multiplicity 1)
Rh: 0.000 0.000 0.000 (multiplicity 1)
Cl: 0.500 0.500 0.500 (multiplicity 1)

Output
- VASP energy: -18.7 eV/cell

4.
An optimized crystal structure of CeEr7Tl4, computed with PBE.

a b c (Å): 14.890 5.675 9.688
angles (deg): 90.00 121.14 90.00
Space group C2/m (No. 12)
Asymmetric unit:
Ce: 0.000 0.000 0.000 (multiplicity 2)
Er: 0.000 0.500 0.000 (multiplicity 2)
Er: 0.071 0.000 0.411 (multiplicity 4)
Er: 0.200 0.000 0.878 (multiplicity 4)
Er: 0.246 0.500 0.702 (multiplicity 4)
Tl: 0.052 0.500 0.717 (multiplicity 4)
Tl: 0.183 0.500 0.338 (multiplicity 4)

Output
- ΔE_f: 0.010 eV/atom